! NaMnP2O, relaxed, DFT GGA+U; values from VASP
&SYSTEM
  ibrav = 0, nat = 5, ntyp = 4
/
ATOMIC_SPECIES
Na 22.99 Na.upf
Mn 54.94 Mn.upf
P 30.97 P.upf
O 16.00 O.upf
CELL_PARAMETERS angstrom
4.798 0.000 0.000
0.000 4.798 0.000
0.000 0.000 3.894
ATOMIC_POSITIONS angstrom
Na 0.000 0.000 0.000
Mn 2.399 2.399 1.947
P 0.000 2.399 0.000
P 2.399 0.000 0.000
O 0.000 0.000 1.947
! - Relative energy among the computed polymorphs: 666.3 kJ/mol of formula units
! - Mass density: 2.89 g cm⁻³
! - SG: P4/mmm
! - Electronic total energy: -3.154 eV/atom
! - DOS at the Fermi energy: 4.507 states/eV/cell